! In2Pd3Pt2 (PBE-GGA, optimized geometry); values from VASP
&SYSTEM
  ibrav = 0, nat = 7, ntyp = 3
/
ATOMIC_SPECIES
In 114.82 In.upf
Pd 106.42 Pd.upf
Pt 195.08 Pt.upf
ATOMIC_POSITIONS angstrom
In -0.837 0.000 1.690
In 6.012 0.000 5.461
Pd 1.769 0.000 0.880
Pd 2.588 0.000 3.575
Pd 3.406 0.000 6.271
Pt -0.054 0.000 4.484
Pt 5.229 0.000 2.667
CELL_PARAMETERS angstrom
4.371 -2.018 0.000
4.371 2.018 0.000
-3.567 0.000 7.151
! Formation energy from the elements   -8.051 kcal/mol of atoms
! Calculated total energy   -5.0830 eV per atom
! Space-group type   C2/m, No. 12

! KTlGa2I4 (PBE-GGA, optimized geometry); values from VASP
&SYSTEM
  ibrav = 0, nat = 8, ntyp = 4
/
ATOMIC_SPECIES
K 39.10 K.upf
Tl 204.38 Tl.upf
Ga 69.72 Ga.upf
I 126.90 I.upf
ATOMIC_POSITIONS angstrom
K 0.000 0.000 0.000
Tl 4.209 2.432 0.000
Ga -1.404 2.432 3.997
Ga 2.804 0.000 3.997
I -0.009 0.000 5.844
I 1.396 2.432 2.154
I 4.212 2.432 5.840
I 5.618 0.000 2.150
CELL_PARAMETERS angstrom
8.417 0.000 0.000
0.000 4.864 0.000
-2.809 0.000 7.994
! Calculated total energy   -2.6636 eV per atom
! Formation energy (no corrections)   -5.59 eV/f.u.
! Space-group type   P2/m, No. 10

! Dy6Bi2Te (PBE-GGA, optimized geometry); values from VASP
&SYSTEM
  ibrav = 0, nat = 9, ntyp = 3
/
ATOMIC_SPECIES
Dy 162.50 Dy.upf
Bi 208.98 Bi.upf
Te 127.60 Te.upf
ATOMIC_POSITIONS angstrom
Dy -1.698 2.941 0.000
Dy -3.140 5.439 2.121
Dy 1.090 1.888 2.121
Dy 3.396 0.000 0.000
Dy 2.532 4.385 0.000
Dy 6.280 0.000 2.121
Bi 0.000 4.884 2.121
Bi 4.230 2.442 2.121
Te 0.000 0.000 0.000
CELL_PARAMETERS angstrom
8.460 0.000 0.000
-4.230 7.326 0.000
0.000 0.000 4.241
! Calculated total energy   -4.9308 eV per atom
! Formation energy (no corrections)   -5.86 eV/f.u.
! Space-group type   P-62m, No. 189

! HfFe2W2 (PBE-GGA, optimized geometry); values from VASP
&SYSTEM
  ibrav = 0, nat = 10, ntyp = 3
/
ATOMIC_SPECIES
Hf 178.49 Hf.upf
Fe 55.84 Fe.upf
W 183.84 W.upf
ATOMIC_POSITIONS angstrom
Hf 0.000 0.000 0.000
Hf 3.603 3.603 0.000
Fe 0.937 2.666 0.000
Fe 2.666 6.270 0.000
Fe 4.540 0.937 0.000
Fe 6.270 4.540 0.000
W 1.173 4.777 1.432
W 2.430 1.173 1.432
W 4.777 6.033 1.432
W 6.033 2.430 1.432
CELL_PARAMETERS angstrom
7.207 0.000 0.000
0.000 7.207 0.000
0.000 0.000 2.864
! Formation energy from the elements   3.814 kcal/mol of atoms
! Calculated total energy   -10.3916 eV per atom
! Space-group type   P4/mbm, No. 127

! TiWAu2Se (PBE-GGA, optimized geometry); values from VASP
&SYSTEM
  ibrav = 0, nat = 5, ntyp = 4
/
ATOMIC_SPECIES
Ti 47.87 Ti.upf
W 183.84 W.upf
Au 196.97 Au.upf
Se 78.96 Se.upf
ATOMIC_POSITIONS angstrom
Ti 0.000 0.000 0.000
W 0.000 0.000 2.286
Au 0.000 2.486 0.000
Au 2.486 0.000 0.000
Se 2.486 2.486 2.286
CELL_PARAMETERS angstrom
4.972 0.000 0.000
0.000 4.972 0.000
0.000 0.000 4.573
! Calculated total energy   -4.8441 eV per atom
! Formation energy (no corrections)   6.67 eV/f.u.
! Space-group type   P4/mmm, No. 123

! Fe2SiBr (PBE-GGA, optimized geometry); values from VASP
&SYSTEM
  ibrav = 0, nat = 8, ntyp = 3
/
ATOMIC_SPECIES
Fe 55.84 Fe.upf
Si 28.09 Si.upf
Br 79.90 Br.upf
ATOMIC_POSITIONS angstrom
Fe 3.837 1.189 -1.352
Fe 1.189 1.279 1.352
Fe -1.279 1.369 4.057
Fe 1.369 1.279 6.762
Si 0.000 0.000 0.000
Si 0.000 2.558 2.705
Br 2.558 0.000 2.705
Br 0.000 0.000 5.409
CELL_PARAMETERS angstrom
-2.558 2.558 5.409
2.558 -2.558 5.409
2.558 2.558 -5.409
! Calculated total energy   -5.3263 eV per atom
! Formation energy (no corrections)   2.72 eV/f.u.
! Space-group type   I-42d, No. 122

! Ac4HPb (PBE-GGA, optimized geometry); values from VASP
&SYSTEM
  ibrav = 0, nat = 12, ntyp = 3
/
ATOMIC_SPECIES
Ac 227.00 Ac.upf
H 1.01 H.upf
Pb 207.20 Pb.upf
ATOMIC_POSITIONS angstrom
Ac 0.005 4.894 4.798
Ac -0.331 1.002 3.425
Ac 1.556 -1.002 0.696
Ac 3.468 4.894 3.387
Ac 1.893 -4.894 2.069
Ac 3.805 1.002 4.760
Ac 5.692 -1.002 2.032
Ac 5.356 -4.894 0.659
H 3.624 8.157 1.364
H 1.737 -8.157 4.092
Pb 3.624 1.797 1.364
Pb 1.737 -1.797 4.092
CELL_PARAMETERS angstrom
4.568 -8.550 0.000
4.568 8.550 0.000
-3.775 0.000 5.456
! Calculated total energy   -4.1324 eV per atom
! Space-group type   C2/c, No. 15

! NaLiHgAs (PBE-GGA, optimized geometry); values from VASP
&SYSTEM
  ibrav = 0, nat = 4, ntyp = 4
/
ATOMIC_SPECIES
Na 22.99 Na.upf
Li 6.94 Li.upf
Hg 200.59 Hg.upf
As 74.92 As.upf
ATOMIC_POSITIONS angstrom
Na 0.000 0.000 0.000
Li 3.438 3.438 3.438
Hg 5.157 5.157 5.157
As 1.719 1.719 1.719
CELL_PARAMETERS angstrom
0.000 3.438 3.438
3.438 0.000 3.438
3.438 3.438 0.000
! Formation energy from the elements   -6.557 kcal/mol of atoms
! Calculated total energy   -2.3304 eV per atom
! Space-group type   F-43m, No. 216